(1)
A relaxed structure of PaMn2Se6. Source: Alexandria, functional PBE.

```
PaMn2Se6
1.0
4.8529 0.0000 0.0000
2.4264 6.4678 -0.4503
2.4264 2.1248 6.9619
Mn Pa Se
2 1 6
Direct
0.8240 0.2596 0.0925
0.1760 0.7404 0.9075
0.0000 0.5000 0.5000
0.2569 0.3679 0.1182
0.6462 0.2798 0.4277
0.0348 0.1362 0.7942
0.7431 0.6321 0.8818
0.3538 0.7202 0.5723
0.9652 0.8638 0.2058
```

Values from the calculation:
* SG: C2/m (12)
* ΔE to the lowest computed polymorph: 0.0484 eV/atom
* energy: -6.11 eV/atom
* formation energy without anion corrections: -0.69 eV/atom
* density: 6.1 g cm⁻³
* magnetic moment: 7.001 μB per formula unit

=====

(2)
A relaxed structure of Ca2LaLu. Source: Alexandria, functional PBE.

```
Ca2LaLu
1.0
-0.4848 3.7454 1.7587
-3.5198 -1.3042 1.8072
4.4067 -2.5841 6.7178
Ca Lu La
2 1 1
Direct
0.0000 0.0000 0.7637
0.0000 0.0000 0.2363
0.5000 0.5000 0.0000
0.5000 0.5000 0.5000
```

Values from the calculation:
* SG: P4/mmm (123)
* ΔE to the lowest computed polymorph: 0.0079 eV/atom
* energy: -3.19 eV/atom
* density: 4.5 g cm⁻³
* magnetic moment: 0.000 μB per formula unit